## SiAg3Se4 (GGA-PBE)

Data for a relaxed SiAg3Se4 crystal.

Cell lengths 5.931, 5.931, 11.745 Å; angles 90.00, 90.00, 90.00 degrees
Space group I-42m (No. 121)
Symmetry-distinct sites (fractional):
Si: 0.000 0.000 0.000 (multiplicity 2)
Ag: 0.000 0.000 0.500 (multiplicity 2)
Ag: 0.000 0.500 0.250 (multiplicity 4)
Se: 0.225 0.225 0.886 (multiplicity 8)

Results
Uncorrected formation energy (eV/atom): -0.207